# AgTe2Pd5 (PBE, optimized geometry)
# total DFT energy (no corrections): -69.5 eV per cell
data_AgTe2Pd5
_chemical_formula_sum 'Ag2 Te4 Pd10'
_cell_length_a 8.668
_cell_length_b 8.668
_cell_length_c 10.586
_cell_angle_alpha 90.00
_cell_angle_beta 90.00
_cell_angle_gamma 151.81
_symmetry_space_group_name_H-M 'P 1'
_symmetry_Int_Tables_number 1
loop_
_symmetry_equiv_pos_as_xyz
'x,y,z'
loop_
_atom_site_label
_atom_site_fract_x
_atom_site_fract_y
_atom_site_fract_z
_atom_site_occupancy
Ag1 0.164 0.836 0.750 1
Ag2 0.836 0.164 0.250 1
Te1 0.124 0.876 0.055 1
Te2 0.124 0.876 0.445 1
Te3 0.876 0.124 0.555 1
Te4 0.876 0.124 0.945 1
Pd1 0.022 0.978 0.627 1
Pd2 0.022 0.978 0.873 1
Pd3 0.225 0.775 0.250 1
Pd4 0.283 0.717 0.564 1
Pd5 0.283 0.717 0.936 1
Pd6 0.717 0.283 0.064 1
Pd7 0.717 0.283 0.436 1
Pd8 0.775 0.225 0.750 1
Pd9 0.978 0.022 0.127 1
Pd10 0.978 0.022 0.373 1